No. 1
# Dy3Y2Th2

Crystalline Dy3Y2Th2 at its relaxed geometry (GGA-PBE, Alexandria). Values from VASP.

Results
- Theoretical density: 8.3 g/cm3
- Magnetic moment: 0.0 Bohr magnetons per cell
- Energy of formation from the pure elements: 0.1392 eV/atom
- Relative energy among the computed polymorphs: 113 meV/atom
- Space-group type: C2/m

Cell and atoms, written as Quantum ESPRESSO input:
```
&SYSTEM
  ibrav = 0, nat = 7, ntyp = 3
/
ATOMIC_SPECIES
Dy 162.50 Dy.upf
Y 88.91 Y.upf
Th 232.04 Th.upf
ATOMIC_POSITIONS angstrom
Dy 0.0000 0.0000 0.0000
Dy 3.2057 0.0000 0.9965
Dy 10.0643 0.0000 6.5170
Y 6.4463 0.0000 2.0993
Y 6.8237 0.0000 5.4141
Th 0.7436 0.0000 3.4391
Th 12.5265 0.0000 4.0744
CELL_PARAMETERS angstrom
8.7269 -1.7246 0.0000
8.7269 1.7246 0.0000
-4.1838 0.0000 7.5135
```

***

No. 2
# Dy8Y2Th3

Crystalline Dy8Y2Th3 at its relaxed geometry (GGA-PBE, Alexandria). Values from VASP.

Results
- Theoretical density: 8.3 g/cm3
- Magnetic moment: 0.0 Bohr magnetons per cell
- Energy of formation from the pure elements: 0.2711 eV/atom
- Relative energy among the computed polymorphs: 0 meV/atom
- Space-group type: C2/m

Cell and atoms, written as Quantum ESPRESSO input:
```
&SYSTEM
  ibrav = 0, nat = 13, ntyp = 3
/
ATOMIC_SPECIES
Dy 162.50 Dy.upf
Y 88.91 Y.upf
Th 232.04 Th.upf
ATOMIC_POSITIONS angstrom
Dy 7.8482 2.3207 5.5636
Dy 3.3664 0.0000 2.7899
Dy 12.1205 2.3207 0.0026
Dy 7.4339 0.0000 2.7863
Dy 12.5348 0.0000 2.7799
Dy 7.8482 -2.3207 5.5636
Dy 16.6023 0.0000 2.7762
Dy 12.1205 -2.3207 0.0026
Y 5.2122 0.0000 0.0083
Y 14.7565 0.0000 5.5579
Th 9.9843 2.3238 2.7831
Th 9.9872 0.0000 0.0000
Th 9.9843 -2.3238 2.7831
CELL_PARAMETERS angstrom
9.9872 -3.9278 0.0000
9.9872 3.9278 0.0000
-0.0058 0.0000 5.5662
```

***

No. 3
# Dy5YTh2

Crystalline Dy5YTh2 at its relaxed geometry (GGA-PBE, Alexandria). Values from VASP.

Results
- Theoretical density: 8.8 g/cm3
- Magnetic moment: 0.0 Bohr magnetons per cell
- Energy of formation from the pure elements: 0.2381 eV/atom
- Relative energy among the computed polymorphs: 143 meV/atom
- Space-group type: Imma

Cell and atoms, written as Quantum ESPRESSO input:
```
&SYSTEM
  ibrav = 0, nat = 16, ntyp = 3
/
ATOMIC_SPECIES
Dy 162.50 Dy.upf
Y 88.91 Y.upf
Th 232.04 Th.upf
ATOMIC_POSITIONS angstrom
Dy 0.0000 1.5736 0.3827
Dy 1.6376 6.4267 -2.9832
Dy 1.6376 -0.2005 2.9832
Dy 3.2752 3.3136 -0.1384
Dy 0.0000 5.0536 0.3827
Dy 3.2752 1.5736 5.5838
Dy 0.0000 3.3136 6.1048
Dy -1.6376 6.8277 2.9832
Dy 1.6376 6.8277 2.9832
Dy 3.2752 5.0536 5.5838
Y 3.2752 -3.3136 3.4992
Y 0.0000 9.9408 2.4672
Th 3.2752 0.0000 0.0000
Th -1.6376 3.3136 2.9832
Th 0.0000 0.0000 5.9664
Th 1.6376 3.3136 2.9832
CELL_PARAMETERS angstrom
-3.2752 6.6272 5.9664
3.2752 -6.6272 5.9664
3.2752 6.6272 -5.9664
```

***

No. 4
# Dy5Y5Th2

Crystalline Dy5Y5Th2 at its relaxed geometry (GGA-PBE, Alexandria). Values from VASP.

Results
- Theoretical density: 7.4 g/cm3
- Magnetic moment: 0.0 Bohr magnetons per cell
- Energy of formation from the pure elements: 0.1271 eV/atom
- Space-group type: C2/m

Cell and atoms, written as Quantum ESPRESSO input:
```
&SYSTEM
  ibrav = 0, nat = 12, ntyp = 3
/
ATOMIC_SPECIES
Dy 162.50 Dy.upf
Y 88.91 Y.upf
Th 232.04 Th.upf
ATOMIC_POSITIONS angstrom
Dy 0.0000 0.0000 0.0000
Dy -0.6182 0.0000 3.5242
Dy 2.8679 0.0000 2.2818
Dy 8.4875 0.0000 5.9449
Dy 11.9736 0.0000 4.7025
Y 2.1656 0.0000 5.7657
Y 6.2252 0.0000 0.8949
Y 5.6777 0.0000 4.1133
Y 5.1302 0.0000 7.3318
Y 9.1898 0.0000 2.4610
Th -1.2981 0.0000 7.0607
Th 12.6535 0.0000 1.1660
CELL_PARAMETERS angstrom
8.0798 -2.9091 0.0000
8.0798 2.9091 0.0000
-4.8043 0.0000 8.2267
```

***

No. 5
# DyY9Th2

Crystalline DyY9Th2 at its relaxed geometry (GGA-PBE, Alexandria). Values from VASP.

Results
- Theoretical density: 6.1 g/cm3
- Magnetic moment: 0.0 Bohr magnetons per cell
- Energy of formation from the pure elements: 0.0399 eV/atom
- Space-group type: P4/mmm

Cell and atoms, written as Quantum ESPRESSO input:
```
&SYSTEM
  ibrav = 0, nat = 12, ntyp = 3
/
ATOMIC_SPECIES
Dy 162.50 Dy.upf
Y 88.91 Y.upf
Th 232.04 Th.upf
ATOMIC_POSITIONS angstrom
Dy 0.0000 0.0000 0.0000
Y 0.0000 2.5269 2.5497
Y 0.0000 2.5269 7.5713
Y 0.0000 2.5269 12.5929
Y 2.5269 0.0000 2.5497
Y 2.5269 0.0000 7.5713
Y 2.5269 0.0000 12.5929
Y 2.5269 2.5269 0.0000
Y 2.5269 2.5269 5.0424
Y 2.5269 2.5269 10.1002
Th 0.0000 0.0000 5.0585
Th 0.0000 0.0000 10.0841
CELL_PARAMETERS angstrom
5.0538 0.0000 0.0000
0.0000 5.0538 0.0000
0.0000 0.0000 15.1426
```

***

No. 6
# Dy4Y19Th6

Crystalline Dy4Y19Th6 at its relaxed geometry (GGA-PBE, Alexandria). Values from VASP.

Results
- Theoretical density: 6.3 g/cm3
- Magnetic moment: 0.0 Bohr magnetons per cell
- Energy of formation from the pure elements: 0.4260 eV/atom
- Space-group type: I23

Cell and atoms, written as Quantum ESPRESSO input:
```
&SYSTEM
  ibrav = 0, nat = 29, ntyp = 3
/
ATOMIC_SPECIES
Dy 162.50 Dy.upf
Y 88.91 Y.upf
Th 232.04 Th.upf
ATOMIC_POSITIONS angstrom
Dy 2.2275 2.2275 -2.2275
Dy 2.2275 -2.2275 2.2275
Dy -2.2275 2.2275 2.2275
Dy 4.0241 4.0241 4.0241
Y 0.0000 0.0000 0.0000
Y 3.2986 0.0000 0.0000
Y 9.2046 0.0000 0.0000
Y 5.4357 3.0064 -2.7697
Y 9.0213 -0.8159 3.2452
Y 3.0064 -2.7697 5.4357
Y 0.0000 3.2986 0.0000
Y 0.0000 0.0000 3.2986
Y 3.4819 0.8159 3.2452
Y 3.2452 3.4819 0.8159
Y 7.0674 3.0064 2.7697
Y 0.8159 3.2452 3.4819
Y 3.2452 9.0213 -0.8159
Y -2.7697 5.4357 3.0064
Y 0.0000 9.2046 0.0000
Y 0.0000 0.0000 9.2046
Y 3.0064 2.7697 7.0674
Y 2.7697 7.0674 3.0064
Y -0.8159 3.2452 9.0213
Th 6.2516 1.6024 0.0000
Th 6.2516 0.0000 4.6492
Th 4.6492 6.2516 0.0000
Th 1.6024 0.0000 6.2516
Th 0.0000 6.2516 1.6024
Th 0.0000 4.6492 6.2516
CELL_PARAMETERS angstrom
-6.2516 6.2516 6.2516
6.2516 -6.2516 6.2516
6.2516 6.2516 -6.2516
```

***

No. 7
# Dy4Y6Th

Crystalline Dy4Y6Th at its relaxed geometry (GGA-PBE, Alexandria). Values from VASP.

Results
- Theoretical density: 6.6 g/cm3
- Magnetic moment: 0.0 Bohr magnetons per cell
- Energy of formation from the pure elements: 0.1394 eV/atom
- Relative energy among the computed polymorphs: 0 meV/atom
- Space-group type: Cmcm

Cell and atoms, written as Quantum ESPRESSO input:
```
&SYSTEM
  ibrav = 0, nat = 22, ntyp = 3
/
ATOMIC_SPECIES
Dy 162.50 Dy.upf
Y 88.91 Y.upf
Th 232.04 Th.upf
ATOMIC_POSITIONS angstrom
Dy 2.8562 4.6752 15.9790
Dy 2.8562 4.6752 22.5790
Dy 2.8562 1.5668 13.9147
Dy 2.8562 1.5668 24.6433
Dy 2.8562 -1.5668 1.0620
Dy 2.8562 -1.5668 11.7906
Dy 2.8562 -4.6752 3.1263
Dy 2.8562 -4.6752 9.7264
Y 0.0000 0.0000 0.0000
Y 0.0000 0.0000 12.8527
Y 2.8562 4.7134 19.2790
Y 2.8562 1.7606 2.6242
Y 2.8562 1.7606 10.2285
Y 2.8562 1.4638 17.5404
Y 2.8562 1.4638 21.0175
Y 2.8562 -1.4638 4.6878
Y 2.8562 -1.4638 8.1649
Y 2.8562 -1.7606 15.4768
Y 2.8562 -1.7606 23.0811
Y 2.8562 -4.7134 6.4263
Th 2.8562 1.7550 6.4263
Th 2.8562 -1.7550 19.2790
CELL_PARAMETERS angstrom
2.8562 -4.8585 0.0000
2.8562 4.8585 0.0000
0.0000 0.0000 25.7053
```

***

No. 8
# Dy5Y4Th

Crystalline Dy5Y4Th at its relaxed geometry (GGA-PBE, Alexandria). Values from VASP.

Results
- Theoretical density: 6.9 g/cm3
- Magnetic moment: 0.0 Bohr magnetons per cell
- Energy of formation from the pure elements: 0.1778 eV/atom
- Relative energy among the computed polymorphs: 0 meV/atom
- Space-group type: C2/m

Cell and atoms, written as Quantum ESPRESSO input:
```
&SYSTEM
  ibrav = 0, nat = 10, ntyp = 3
/
ATOMIC_SPECIES
Dy 162.50 Dy.upf
Y 88.91 Y.upf
Th 232.04 Th.upf
ATOMIC_POSITIONS angstrom
Dy 0.0000 0.0000 0.0000
Dy 5.4887 0.0000 10.4800
Dy 5.5668 0.0000 6.0539
Dy 11.4499 0.0000 4.9513
Dy 11.5280 0.0000 0.5252
Y 2.5331 0.0000 8.2083
Y 8.0420 0.0000 8.2600
Y 8.9746 0.0000 2.7452
Y 14.4835 0.0000 2.7970
Th -0.0528 0.0000 5.5026
CELL_PARAMETERS angstrom
8.5611 -1.7793 0.0000
8.5611 1.7793 0.0000
-0.1056 0.0000 11.0052
```

***

No. 9
# DyYTh2

Crystalline DyYTh2 at its relaxed geometry (GGA-PBE, Alexandria). Values from VASP.

Results
- Theoretical density: 9.2 g/cm3
- Magnetic moment: 0.0 Bohr magnetons per cell
- Energy of formation from the pure elements: 0.0308 eV/atom
- Relative energy among the computed polymorphs: 0 meV/atom
- Space-group type: P2_1/m

Cell and atoms, written as Quantum ESPRESSO input:
```
&SYSTEM
  ibrav = 0, nat = 8, ntyp = 3
/
ATOMIC_SPECIES
Dy 162.50 Dy.upf
Y 88.91 Y.upf
Th 232.04 Th.upf
ATOMIC_POSITIONS angstrom
Dy 5.0516 1.2657 1.3061
Dy -0.0081 3.7972 8.7767
Y 2.5196 1.2657 8.7813
Y 2.5240 3.7972 1.3015
Th 5.0469 1.2657 6.2788
Th -0.0033 3.7972 3.8040
Th 2.5245 1.2657 3.8083
Th 2.5190 3.7972 6.2744
CELL_PARAMETERS angstrom
5.0550 0.0000 0.0000
0.0000 5.0630 0.0000
-0.0115 0.0000 10.0828
```

***

No. 10
# Dy3YTh2

Crystalline Dy3YTh2 at its relaxed geometry (GGA-PBE, Alexandria). Values from VASP.

Results
- Theoretical density: 7.7 g/cm3
- Magnetic moment: 0.0 Bohr magnetons per cell
- Energy of formation from the pure elements: 0.5761 eV/atom
- Relative energy among the computed polymorphs: 546 meV/atom
- Space-group type: Cmcm

Cell and atoms, written as Quantum ESPRESSO input:
```
&SYSTEM
  ibrav = 0, nat = 12, ntyp = 3
/
ATOMIC_SPECIES
Dy 162.50 Dy.upf
Y 88.91 Y.upf
Th 232.04 Th.upf
ATOMIC_POSITIONS angstrom
Dy 1.7306 2.8323 8.5049
Dy 3.4644 5.6955 8.5049
Dy 1.7306 -2.8323 2.8350
Dy 5.1982 2.8323 8.5049
Dy 3.4644 -5.6955 2.8350
Dy 5.1982 -2.8323 2.8350
Y 3.4644 0.0304 2.8350
Y 3.4644 -0.0304 8.5049
Th 1.7235 0.0000 0.0000
Th 1.7235 0.0000 5.6699
Th 5.2054 0.0000 0.0000
Th 5.2054 0.0000 5.6699
CELL_PARAMETERS angstrom
3.4644 -5.7298 0.0000
3.4644 5.7298 0.0000
0.0000 0.0000 11.3399
```

***

No. 11
# DyYTh2

Crystalline DyYTh2 at its relaxed geometry (GGA-PBE, Alexandria). Values from VASP.

Results
- Theoretical density: 9.3 g/cm3
- Magnetic moment: 0.0 Bohr magnetons per cell
- Energy of formation from the pure elements: 0.0339 eV/atom
- Relative energy among the computed polymorphs: 3 meV/atom
- Space-group type: R-3m

Cell and atoms, written as Quantum ESPRESSO input:
```
&SYSTEM
  ibrav = 0, nat = 4, ntyp = 3
/
ATOMIC_SPECIES
Dy 162.50 Dy.upf
Y 88.91 Y.upf
Th 232.04 Th.upf
ATOMIC_POSITIONS angstrom
Dy 0.0000 0.0000 0.0000
Y 0.0000 0.0000 17.2775
Th 0.0000 0.0000 8.6555
Th 0.0000 0.0000 25.8994
CELL_PARAMETERS angstrom
1.7883 1.0325 11.5183
-1.7883 1.0325 11.5183
0.0000 -2.0650 11.5183
```

***

No. 12
# Dy2Y2Th3

Crystalline Dy2Y2Th3 at its relaxed geometry (GGA-PBE, Alexandria). Values from VASP.

Results
- Theoretical density: 8.7 g/cm3
- Magnetic moment: 0.0 Bohr magnetons per cell
- Energy of formation from the pure elements: 0.1361 eV/atom
- Relative energy among the computed polymorphs: 14 meV/atom
- Space-group type: C2/m

Cell and atoms, written as Quantum ESPRESSO input:
```
&SYSTEM
  ibrav = 0, nat = 7, ntyp = 3
/
ATOMIC_SPECIES
Dy 162.50 Dy.upf
Y 88.91 Y.upf
Th 232.04 Th.upf
ATOMIC_POSITIONS angstrom
Dy 1.2767 0.0000 2.5152
Dy 12.2851 0.0000 4.9940
Y 7.1576 0.0000 0.7239
Y 6.4042 0.0000 6.7853
Th -1.9469 0.0000 3.7546
Th 0.6237 0.0000 5.9576
Th 12.9381 0.0000 1.5516
CELL_PARAMETERS angstrom
8.7277 -1.7388 0.0000
8.7277 1.7388 0.0000
-3.8937 0.0000 7.5092
```

***

Question: Number 11 is which compound?
Answer: DyYTh2

***

Repeat the seventh record exactly.
# Dy4Y6Th

Crystalline Dy4Y6Th at its relaxed geometry (GGA-PBE, Alexandria). Values from VASP.

Results
- Theoretical density: 6.6 g/cm3
- Magnetic moment: 0.0 Bohr magnetons per cell
- Energy of formation from the pure elements: 0.1394 eV/atom
- Relative energy among the computed polymorphs: 0 meV/atom
- Space-group type: Cmcm

Cell and atoms, written as Quantum ESPRESSO input:
```
&SYSTEM
  ibrav = 0, nat = 22, ntyp = 3
/
ATOMIC_SPECIES
Dy 162.50 Dy.upf
Y 88.91 Y.upf
Th 232.04 Th.upf
ATOMIC_POSITIONS angstrom
Dy 2.8562 4.6752 15.9790
Dy 2.8562 4.6752 22.5790
Dy 2.8562 1.5668 13.9147
Dy 2.8562 1.5668 24.6433
Dy 2.8562 -1.5668 1.0620
Dy 2.8562 -1.5668 11.7906
Dy 2.8562 -4.6752 3.1263
Dy 2.8562 -4.6752 9.7264
Y 0.0000 0.0000 0.0000
Y 0.0000 0.0000 12.8527
Y 2.8562 4.7134 19.2790
Y 2.8562 1.7606 2.6242
Y 2.8562 1.7606 10.2285
Y 2.8562 1.4638 17.5404
Y 2.8562 1.4638 21.0175
Y 2.8562 -1.4638 4.6878
Y 2.8562 -1.4638 8.1649
Y 2.8562 -1.7606 15.4768
Y 2.8562 -1.7606 23.0811
Y 2.8562 -4.7134 6.4263
Th 2.8562 1.7550 6.4263
Th 2.8562 -1.7550 19.2790
CELL_PARAMETERS angstrom
2.8562 -4.8585 0.0000
2.8562 4.8585 0.0000
0.0000 0.0000 25.7053
```

***

Question: Which value of energy of formation from the pure elements does entry 6 give?
Answer: 0.4260 eV/atom